First-principles (PBE) data for an optimized crystal structure of K2HgHSe2, as listed in the Alexandria database.

Calculated values
Space-group type: Ibam

abc: 8.241 8.241 8.241
angles: 125.21 77.05 130.36
Element x y z (fractional)
K 0.135 0.150 0.285
K 0.365 0.650 0.015
K 0.635 0.350 0.985
K 0.865 0.850 0.715
Hg 0.250 0.750 0.500
Hg 0.750 0.250 0.500
H 0.250 0.250 0.000
H 0.750 0.750 0.000
Se 0.107 0.712 0.819
Se 0.393 0.212 0.604
Se 0.607 0.788 0.396
Se 0.893 0.288 0.181

=====

First-principles (PBE) data for an optimized crystal structure of K2SnHgH, as listed in the Alexandria database.

Calculated values
Space-group type: P4/mmm

abc: 5.642 5.642 4.514
angles: 90.00 90.00 90.00
Element x y z (fractional)
K 0.000 0.500 0.000
K 0.500 0.000 0.000
Sn 0.000 0.000 0.500
Hg 0.500 0.500 0.500
H 0.000 0.000 0.000

=====

Number 1: DFT total energy -2.50 eV per atom. Number 2: DFT total energy -2.00 eV per atom.